{"formula": "Ba2MgCdBi4", "functional": "PBE-GGA", "state": "relaxed", "energy_ev_per_atom": -3.405, "spacegroup": "I-4m2", "lattice": [[-2.3629, 2.3629, 12.4911], [2.3629, -2.3629, 12.4911], [2.3629, 2.3629, -12.4911]], "species": ["Ba", "Mg", "Bi", "Bi", "Bi", "Bi", "Ba", "Cd"], "fractional_positions": [[0.1132, 0.1132, 0.0000], [0.7500, 0.2500, 0.5000], [0.3259, 0.3259, 0.0000], [0.6741, 0.6741, 0.0000], [0.0002, 0.5002, 0.5000], [0.4998, 0.9998, 0.5000], [0.8868, 0.8868, 0.0000], [0.2500, 0.7500, 0.5000]]}